# 1
Crystalline CdCuMo at its relaxed geometry, computed with PBEsol.

POSCAR file:
```
CdCuMo
1.0
-1.312 3.716 1.715
-0.752 0.271 4.223
2.653 2.261 2.515
Cd Cu Mo
1 1 1
Direct
0.000 0.000 0.000 Cd
0.500 0.500 0.500 Cu
0.250 0.250 0.250 Mo
```

Computed properties:
The formation energy from the elements comes out at 1.2741 eV/atom. The density comes out at 8.0 g/cm3. The value obtained for the total magnetization is 0.235 μB per atom.



# 2
Crystalline Cd2CuMo at its relaxed geometry, computed with PBEsol.

POSCAR file:
```
Cd2CuMo
1.0
-3.360 1.944 -1.036
0.785 -0.714 -3.887
-2.065 -3.454 0.217
Cd Cu Mo
2 1 1
Direct
0.000 0.000 0.500 Cd
0.000 0.500 0.000 Cd
0.500 0.500 0.500 Cu
0.500 0.000 0.000 Mo
```

Computed properties:
The energy above the most stable polymorph in this dataset comes out at 0 meV per atom. The formation energy from the elements comes out at 0.3998 eV/atom. The density comes out at 9.8 g/cm3. The value obtained for the total magnetization is 0.000 μB per atom.



# 3
Crystalline CdCuMo2 at its relaxed geometry, computed with PBEsol.

POSCAR file:
```
CdCuMo2
1.0
-3.612 0.382 1.529
-1.569 -1.218 -3.404
2.732 -3.286 2.198
Cd Cu Mo
1 1 2
Direct
0.500 0.500 0.000 Cd
0.250 0.750 0.500 Cu
0.000 0.000 0.000 Mo
0.750 0.250 0.500 Mo
```

Computed properties:
The formation energy from the elements comes out at 0.4633 eV/atom. The density comes out at 10.0 g/cm3. The value obtained for the total magnetization is 0.000 μB per atom.



# 4
Crystalline Cd2CuMoPt at its relaxed geometry, computed with PBEsol.

POSCAR file:
```
Cd2CuMoPt
1.0
-1.381 2.234 -3.831
-1.499 -3.995 -1.790
-4.156 0.705 1.909
Mo Cu Pt Cd
1 1 1 2
Direct
0.500 0.500 0.500 Mo
0.000 0.000 0.000 Cu
0.500 0.000 0.000 Pt
0.000 0.000 0.500 Cd
0.000 0.500 0.000 Cd
```

Computed properties:
The formation energy from the elements comes out at 1.0740 eV/atom. The density comes out at 9.7 g/cm3. The value obtained for the total magnetization is 0.699 μB per atom.



# 5
Crystalline Ta2CdCuMo at its relaxed geometry, computed with PBEsol.

POSCAR file:
```
Ta2CdCuMo
1.0
4.317 0.000 0.000
0.000 4.898 0.000
0.000 0.000 4.898
Mo Cd Cu Ta
1 1 1 2
Direct
0.500 0.500 0.500 Mo
0.000 0.000 0.000 Cd
0.500 0.000 0.000 Cu
0.000 0.000 0.500 Ta
0.000 0.500 0.000 Ta
```

Computed properties:
The formation energy from the elements comes out at 2.1938 eV/atom. The density comes out at 10.2 g/cm3. The value obtained for the total magnetization is 0.000 μB per atom.



# 6
Crystalline CdCuN3 at its relaxed geometry, computed with PBEsol.

POSCAR file:
```
CdCuN3
1.0
-1.590 3.191 -2.125
-3.732 -0.761 1.650
0.878 2.543 3.161
N Cu Cd
3 1 1
Direct
0.000 0.500 0.000 N
0.000 0.000 0.500 N
0.500 0.000 0.000 N
0.500 0.500 0.500 Cu
0.000 0.000 0.000 Cd
```

Computed properties:
The value obtained for the formation energy from raw total energies is 13.15 eV/f.u. The density comes out at 5.1 g/cm3. The value obtained for the total magnetization is 0.835 μB per atom.



# 7
Crystalline CdCuS2N at its relaxed geometry, computed with PBEsol.

POSCAR file:
```
CdCuS2N
1.0
3.579 0.000 0.000
0.000 4.716 0.000
0.000 0.000 4.716
S N Cu Cd
2 1 1 1
Direct
0.000 0.000 0.500 S
0.000 0.500 0.000 S
0.500 0.000 0.000 N
0.000 0.000 0.000 Cu
0.500 0.500 0.500 Cd
```

Computed properties:
The value obtained for the formation energy from raw total energies is 3.44 eV/f.u. The density comes out at 5.3 g/cm3. The value obtained for the total magnetization is 0.319 μB per atom.



# 8
Crystalline TaCdCu2N at its relaxed geometry, computed with PBEsol.

POSCAR file:
```
TaCdCu2N
1.0
3.890 0.000 0.000
0.000 4.628 0.000
0.000 0.000 4.628
N Cd Cu Ta
1 1 2 1
Direct
0.500 0.000 0.000 N
0.000 0.000 0.000 Cd
0.000 0.000 0.500 Cu
0.000 0.500 0.000 Cu
0.500 0.500 0.500 Ta
```

Computed properties:
The value obtained for the formation energy from raw total energies is 9.14 eV/f.u. The density comes out at 8.7 g/cm3. The value obtained for the total magnetization is 0.003 μB per atom.



# 9
Crystalline NaCdCu2Re at its relaxed geometry, computed with PBEsol.

POSCAR file:
```
NaCdCu2Re
1.0
-3.781 -1.028 2.473
2.576 -0.226 3.845
-0.832 5.126 0.858
Re Na Cu Cd
1 1 2 1
Direct
0.000 0.000 0.000 Re
0.000 0.000 0.500 Na
0.000 0.500 0.000 Cu
0.500 0.000 0.000 Cu
0.500 0.500 0.500 Cd
```

Computed properties:
The formation energy from the elements comes out at 1.5805 eV/atom. The density comes out at 6.6 g/cm3. The value obtained for the total magnetization is 0.184 μB per atom.



# 10
Crystalline NaCd2CuW at its relaxed geometry, computed with PBEsol.

POSCAR file:
```
NaCd2CuW
1.0
5.305 0.000 0.000
0.000 5.305 0.000
0.000 0.000 5.565
Na Cu W Cd
1 1 1 2
Direct
0.000 0.000 0.500 Na
0.500 0.500 0.500 Cu
0.000 0.000 0.000 W
0.000 0.500 0.000 Cd
0.500 0.000 0.000 Cd
```

Computed properties:
The formation energy from the elements comes out at 1.8396 eV/atom. The density comes out at 5.3 g/cm3. The value obtained for the total magnetization is 0.723 μB per atom.



# 11
Crystalline SrNbCdCu2 at its relaxed geometry, computed with PBEsol.

POSCAR file:
```
SrNbCdCu2
1.0
-4.401 -0.885 -1.510
1.281 -4.414 -1.146
-1.333 -1.646 4.849
Sr Nb Cu Cd
1 1 2 1
Direct
0.000 0.000 0.000 Sr
0.500 0.500 0.500 Nb
0.000 0.500 0.000 Cu
0.500 0.000 0.000 Cu
0.000 0.000 0.500 Cd
```

Computed properties:
The formation energy from the elements comes out at 1.8356 eV/atom. The density comes out at 5.9 g/cm3. The value obtained for the total magnetization is 0.167 μB per atom.



# 12
Crystalline CdCu2Ni at its relaxed geometry, computed with PBEsol.

POSCAR file:
```
CdCu2Ni
1.0
-0.646 -0.611 2.603
-2.016 -2.427 -1.070
4.312 -3.674 0.208
Ni Cu Cd
1 2 1
Direct
0.500 0.500 0.000 Ni
0.000 0.000 0.785 Cu
0.000 0.000 0.215 Cu
0.500 0.500 0.500 Cd
```

Computed properties:
The formation energy from the elements comes out at 0.0770 eV/atom. The density comes out at 9.5 g/cm3. The value obtained for the total magnetization is 0.000 μB per atom.



# 13
Crystalline CdCu2Ni at its relaxed geometry, computed with PBEsol.

POSCAR file:
```
CdCu2Ni
1.0
3.726 0.000 0.000
0.000 3.726 0.000
-1.863 -1.863 3.720
Ni Cu Cd
1 2 1
Direct
0.500 0.500 0.000 Ni
0.750 0.250 0.500 Cu
0.250 0.750 0.500 Cu
0.000 0.000 0.000 Cd
```

Computed properties:
The formation energy from the elements comes out at 0.0767 eV/atom. The density comes out at 9.6 g/cm3. The value obtained for the total magnetization is 0.000 μB per atom.



# 14
Crystalline CdCuNi4 at its relaxed geometry, computed with PBEsol.

POSCAR file:
```
CdCuNi4
1.0
-0.821 4.580 -0.498
-3.983 1.462 -1.974
-3.276 2.087 2.610
Cd Cu Ni
1 1 4
Direct
0.250 0.250 0.250 Cd
0.000 0.000 0.000 Cu
0.625 0.625 0.124 Ni
0.124 0.625 0.625 Ni
0.625 0.124 0.625 Ni
0.625 0.625 0.625 Ni
```

Computed properties:
The formation energy from the elements comes out at 0.0935 eV/atom. The density comes out at 9.4 g/cm3. The value obtained for the total magnetization is 0.000 μB per atom.



# 15
Crystalline CdCu2Ni at its relaxed geometry, computed with PBEsol.

POSCAR file:
```
CdCu2Ni
1.0
2.720 0.000 0.000
0.000 4.511 -0.028
-1.360 -0.920 4.245
Cd Cu Ni
1 2 1
Direct
0.000 0.500 0.000 Cd
0.240 0.226 0.480 Cu
0.760 0.774 0.520 Cu
0.500 0.000 0.000 Ni
```

Computed properties:
The formation energy from the elements comes out at 0.0848 eV/atom. The density comes out at 9.5 g/cm3. The value obtained for the total magnetization is 0.000 μB per atom.



# 16
Crystalline CdCuNi2 at its relaxed geometry, computed with PBEsol.

POSCAR file:
```
CdCuNi2
1.0
3.621 0.000 0.000
0.000 3.698 0.489
0.000 -0.489 3.698
Cd Cu Ni
1 1 2
Direct
0.500 0.000 0.000 Cd
0.500 0.500 0.500 Cu
0.000 0.500 0.000 Ni
0.000 0.000 0.500 Ni
```

Computed properties:
The formation energy from the elements comes out at 0.0965 eV/atom. The density comes out at 9.7 g/cm3. The value obtained for the total magnetization is 0.000 μB per atom.



# 17
Crystalline CdCu2Ni at its relaxed geometry, computed with PBEsol.

POSCAR file:
```
CdCu2Ni
1.0
-1.880 -2.151 -0.345
2.107 -1.911 0.435
-1.205 0.069 6.133
Ni Cu Cd
1 2 1
Direct
0.000 0.000 0.466 Ni
0.000 0.000 0.037 Cu
0.500 0.500 0.254 Cu
0.500 0.500 0.744 Cd
```

Computed properties:
The formation energy from the elements comes out at 0.0584 eV/atom. The density comes out at 9.6 g/cm3. The value obtained for the total magnetization is 0.000 μB per atom.



# 18
Crystalline CdCu2Ni at its relaxed geometry, computed with PBEsol.

POSCAR file:
```
CdCu2Ni
1.0
-0.993 -3.619 -0.056
0.098 -0.085 3.751
-3.087 2.820 -1.733
Ni Cu Cd
1 2 1
Direct
0.500 0.500 0.000 Ni
0.000 0.000 0.000 Cu
0.750 0.250 0.500 Cu
0.250 0.750 0.500 Cd
```

Computed properties:
The formation energy from the elements comes out at 0.0699 eV/atom. The density comes out at 9.6 g/cm3. The value obtained for the total magnetization is 0.000 μB per atom.



# 19
Crystalline CdCuNi2 at its relaxed geometry, computed with PBEsol.

POSCAR file:
```
CdCuNi2
1.0
-0.970 0.560 -2.687
-0.357 -2.852 -0.466
-5.549 0.356 2.077
Ni Cu Cd
2 1 1
Direct
0.000 0.000 0.716 Ni
0.000 0.000 0.284 Ni
0.500 0.500 0.500 Cu
0.500 0.500 0.000 Cd
```

Computed properties:
The formation energy from the elements comes out at 0.0627 eV/atom. The density comes out at 9.7 g/cm3. The value obtained for the total magnetization is 0.000 μB per atom.



# 20
Crystalline CdCuNi2 at its relaxed geometry, computed with PBEsol.

POSCAR file:
```
CdCuNi2
1.0
-0.049 -0.819 2.676
1.410 -2.584 -0.765
5.274 2.612 0.895
Cd Cu Ni
1 1 2
Direct
0.000 0.000 0.495 Cd
0.500 0.500 0.788 Cu
0.000 0.000 0.005 Ni
0.500 0.500 0.212 Ni
```

Computed properties:
The formation energy from the elements comes out at 0.0911 eV/atom. The density comes out at 9.6 g/cm3. The value obtained for the total magnetization is 0.105 μB per atom.



# 21
Crystalline CdCu2O3 at its relaxed geometry, computed with PBEsol.

POSCAR file:
```
CdCu2O3
1.0
3.599 0.000 0.000
0.000 3.973 0.000
0.000 0.000 9.793
Cd Cu O
2 4 6
Direct
0.323 0.000 0.000 Cd
0.677 0.500 0.500 Cd
0.152 0.000 0.335 Cu
0.152 0.000 0.665 Cu
0.848 0.500 0.835 Cu
0.848 0.500 0.165 Cu
0.420 0.000 0.500 O
0.881 0.000 0.830 O
0.881 0.000 0.170 O
0.580 0.500 0.000 O
0.119 0.500 0.330 O
0.119 0.500 0.670 O
```

Computed properties:
The value obtained for the formation energy from raw total energies is -4.14 eV/f.u. The density comes out at 6.8 g/cm3. The value obtained for the total magnetization is 0.000 μB per atom.



# 22
Crystalline CdCuP2O at its relaxed geometry, computed with PBEsol.

POSCAR file:
```
CdCuP2O
1.0
-1.230 0.408 -3.256
-4.188 -1.733 1.364
-1.451 4.370 1.096
P O Cu Cd
2 1 1 1
Direct
0.000 0.000 0.500 P
0.000 0.500 0.000 P
0.500 0.000 0.000 O
0.000 0.000 0.000 Cu
0.500 0.500 0.500 Cd
```

Computed properties:
The value obtained for the formation energy from raw total energies is 1.97 eV/f.u. The density comes out at 5.4 g/cm3. The value obtained for the total magnetization is 0.000 μB per atom.



# 23
Crystalline CdCuSe2O at its relaxed geometry, computed with PBEsol.

POSCAR file:
```
CdCuSe2O
1.0
4.871 0.000 0.000
0.000 5.061 0.000
0.000 0.000 5.061
O Cu Se Cd
1 1 2 1
Direct
0.500 0.500 0.500 O
0.500 0.000 0.000 Cu
0.000 0.000 0.500 Se
0.000 0.500 0.000 Se
0.000 0.000 0.000 Cd
```

Computed properties:
The value obtained for the formation energy from raw total energies is 6.28 eV/f.u. The density comes out at 4.7 g/cm3. The value obtained for the total magnetization is 0.472 μB per atom.



# 24
Crystalline CdCuSe2O6 at its relaxed geometry, computed with PBEsol.

POSCAR file:
```
CdCuSe2O6
1.0
7.169 0.049 0.000
-0.518 7.501 0.000
0.000 0.000 10.442
Cd Cu Se O
4 4 8 24
Direct
0.522 0.738 0.052 Cd
0.978 0.262 0.552 Cd
0.478 0.262 0.948 Cd
0.022 0.738 0.448 Cd
0.980 0.684 0.084 Cu
0.520 0.316 0.584 Cu
0.020 0.316 0.916 Cu
0.480 0.684 0.416 Cu
0.192 0.942 0.894 Se
0.308 0.058 0.394 Se
0.808 0.058 0.106 Se
0.692 0.942 0.606 Se
0.255 0.431 0.226 Se
0.245 0.569 0.726 Se
0.745 0.569 0.774 Se
0.755 0.431 0.274 Se
0.164 0.132 0.990 O
0.336 0.868 0.490 O
0.836 0.868 0.010 O
0.664 0.132 0.510 O
0.423 0.984 0.861 O
0.077 0.016 0.361 O
0.577 0.016 0.139 O
0.923 0.984 0.639 O
0.215 0.782 0.013 O
0.285 0.218 0.513 O
0.785 0.218 0.987 O
0.715 0.782 0.487 O
0.067 0.455 0.125 O
0.433 0.545 0.625 O
0.933 0.545 0.875 O
0.567 0.455 0.375 O
0.274 0.643 0.294 O
0.226 0.357 0.794 O
0.726 0.357 0.706 O
0.774 0.643 0.206 O
0.435 0.453 0.116 O
0.065 0.547 0.616 O
0.565 0.547 0.884 O
0.935 0.453 0.384 O
```

Computed properties:
The value obtained for the formation energy from raw total energies is -8.31 eV/f.u. The density comes out at 5.1 g/cm3. The value obtained for the total magnetization is 0.100 μB per atom.



# 25
Crystalline Ti4CdCu3O12 at its relaxed geometry, computed with PBEsol.

POSCAR file:
```
Ti4CdCu3O12
1.0
6.381 0.000 0.000
-2.127 6.016 0.000
-2.127 -3.008 5.210
Ti Cd Cu O
4 1 3 12
Direct
0.500 0.000 0.000 Ti
0.500 0.500 0.500 Ti
0.000 0.000 0.500 Ti
0.000 0.500 0.000 Ti
0.000 0.000 0.000 Cd
0.500 0.500 0.000 Cu
0.500 0.000 0.500 Cu
0.000 0.500 0.500 Cu
0.823 0.306 0.129 O
0.306 0.483 0.177 O
0.871 0.177 0.694 O
0.306 0.129 0.823 O
0.129 0.823 0.306 O
0.694 0.517 0.823 O
0.483 0.177 0.306 O
0.517 0.823 0.694 O
0.694 0.871 0.177 O
0.823 0.694 0.517 O
0.177 0.306 0.483 O
0.177 0.694 0.871 O
```

Computed properties:
The value obtained for the formation energy from raw total energies is -41.38 eV/f.u. The density comes out at 5.7 g/cm3. The value obtained for the total magnetization is 0.145 μB per atom.



# 26
Crystalline VCdCuO4 at its relaxed geometry, computed with PBEsol.

POSCAR file:
```
VCdCuO4
1.0
-1.277 -1.216 -5.066
1.042 -4.368 2.935
-6.250 -0.373 1.665
V Cd Cu O
2 2 2 8
Direct
0.367 0.633 0.250 V
0.633 0.367 0.750 V
0.000 0.000 0.000 Cd
0.000 0.000 0.500 Cd
0.689 0.311 0.250 Cu
0.311 0.689 0.750 Cu
0.260 0.740 0.031 O
0.740 0.260 0.531 O
0.740 0.260 0.969 O
0.260 0.740 0.469 O
0.252 0.280 0.250 O
0.748 0.720 0.750 O
0.720 0.748 0.250 O
0.280 0.252 0.750 O
```

Computed properties:
The value obtained for the formation energy from raw total energies is -11.03 eV/f.u. The density comes out at 5.6 g/cm3. The value obtained for the total magnetization is 0.000 μB per atom.